This record from Alexandria describes a relaxed structure of CsRb3Tl2I6. The functional is PBE.

abc: 11.730 11.730 10.517
angles: 103.09 103.09 25.83
Atoms (fractional coordinates):
Cs1 0.000 0.000 0.000
Rb1 0.000 0.000 0.500
Rb2 0.334 0.334 0.172
Rb3 0.666 0.666 0.828
Tl1 0.330 0.330 0.665
Tl2 0.670 0.670 0.335
I1 0.170 0.170 0.574
I2 0.171 0.171 0.092
I3 0.496 0.496 0.737
I4 0.504 0.504 0.263
I5 0.829 0.829 0.908
I6 0.830 0.830 0.426

## Properties
**Uncorrected formation energy**: -14.64 eV/f.u.
**DOS(E_F)**: 0.000 states/eV per atom
**Symmetry**: C2/m